1.
Entry from Alexandria: a relaxed structure of AuN2Cl (PBE).

Structure (POSCAR):
```
AuN2Cl
1.0
4.201 0.000 0.000
-2.086 3.950 0.000
-1.868 -1.063 7.753
Au N Cl
1 2 1
direct
0.000 0.000 0.000
0.510 0.424 0.457
0.675 0.691 0.525
0.814 0.420 0.000
```

Computed properties:
Formation energy (no corrections): 0.02 eV/atom
Energy above the most stable polymorph in this dataset: 0.0 kJ/mol of atoms
Electronic total energy: -21.68 eV per cell
SG: P1 (1)

=====

2.
Entry from Alexandria: a relaxed structure of AuN2Cl (PBE).

Structure (POSCAR):
```
AuN2Cl
1.0
-2.902 2.902 3.588
2.902 -2.902 3.588
2.902 2.902 -3.588
Au N Cl
2 4 2
direct
0.000 0.000 0.000
0.750 0.250 0.500
0.072 0.625 0.947
0.375 0.322 0.447
0.678 0.125 0.053
0.875 0.928 0.553
0.250 0.750 0.500
0.500 0.500 0.000
```

Computed properties:
Formation energy (no corrections): 1.98 eV/atom
Energy above the most stable polymorph in this dataset: 188.4 kJ/mol of atoms
Electronic total energy: -27.73 eV per cell
SG: I-42d (122)

=====

3.
Entry from Alexandria: a relaxed structure of Au2N2Cl3 (PBE).

Structure (POSCAR):
```
Au2N2Cl3
1.0
3.799 0.000 0.000
1.896 5.154 0.000
1.894 0.102 10.388
Au N Cl
2 2 3
direct
0.000 0.000 0.000
0.193 0.000 0.461
0.451 0.174 0.926
0.726 0.933 0.462
0.451 0.319 0.782
0.568 0.761 0.101
0.899 0.581 0.466
```

Computed properties:
Formation energy (no corrections): 0.72 eV/atom
Electronic total energy: -23.69 eV per cell
SG: P1 (1)